Model P:
VASP calculation (GGA-PBE) on an optimized crystal structure of Ce3Tl5.

Structure (CIF):
```
data_Ce3Tl5
_chemical_formula_sum 'Ce6 Tl10'
_symmetry_space_group_name_H-M 'C m m m'
_symmetry_Int_Tables_number 65
_symmetry_space_group_name_Hall '-C 2 2'
_cell_length_a 9.3910
_cell_length_b 9.8614
_cell_length_c 4.9470
_cell_angle_alpha 90.00
_cell_angle_beta 90.00
_cell_angle_gamma 90.00
loop_
_atom_site_label
_atom_site_fract_x
_atom_site_fract_y
_atom_site_fract_z
Ce1 0.0000 0.0000 0.0000
Ce2 0.0000 0.2681 0.5000
Tl1 0.0000 0.5000 0.0000
Tl2 0.2363 0.0000 0.5000
Tl3 0.2500 0.2500 0.0000
```

## Properties
Total magnetization, Bohr magnetons per cell: 6.46
Crystal system: orthorhombic

---

Model Q:
VASP calculation (GGA-PBE) on an optimized crystal structure of Ce3Tl5.

Structure (CIF):
```
data_Ce3Tl5
_chemical_formula_sum 'Ce12 Tl20'
_symmetry_space_group_name_H-M 'C m c m'
_symmetry_Int_Tables_number 63
_symmetry_space_group_name_Hall '-C 2c 2'
_cell_length_a 10.4382
_cell_length_b 8.3799
_cell_length_c 10.5730
_cell_angle_alpha 90.00
_cell_angle_beta 90.00
_cell_angle_gamma 90.00
loop_
_atom_site_label
_atom_site_fract_x
_atom_site_fract_y
_atom_site_fract_z
Ce1 0.0000 0.1113 0.2500
Ce2 0.2084 0.5000 0.0000
Tl1 0.0000 0.2026 0.5416
Tl2 0.0000 0.4984 0.2500
Tl3 0.2205 0.2182 0.7500
```

## Properties
Total magnetization, Bohr magnetons per cell: 10.45
Crystal system: orthorhombic

---

Need the numbers? Relative energies in meV per atom: model P 21; model Q 0.

---

Model P:
VASP calculation (GGA-PBE) on an optimized crystal structure of Ce4Tl5.

Structure (CIF):
```
data_Ce4Tl5
_chemical_formula_sum 'Ce8 Tl10'
_symmetry_space_group_name_H-M 'C 1 2/m 1'
_symmetry_Int_Tables_number 12
_cell_length_a 10.9711
_cell_length_b 4.7534
_cell_length_c 10.8782
_cell_angle_alpha 90.00
_cell_angle_beta 117.11
_cell_angle_gamma 90.00
loop_
_symmetry_equiv_pos_as_xyz
'x,y,z'
'-x,-y,-z'
'-x,y,-z'
'x,-y,z'
'x+1/2,y+1/2,z'
'-x+1/2,-y+1/2,-z'
'-x+1/2,y+1/2,-z'
'x+1/2,-y+1/2,z'
loop_
_atom_site_label
_atom_site_fract_x
_atom_site_fract_y
_atom_site_fract_z
Ce1 0.0215 0.0000 0.1796
Ce2 0.1933 0.5000 0.7293
Tl1 0.0000 0.0000 0.5000
Tl2 0.1654 0.5000 0.3960
Tl3 0.1656 0.5000 0.0422
```

## Properties
Total magnetization, Bohr magnetons per cell: 6.61
Crystal system: monoclinic

---

Model Q:
VASP calculation (GGA-PBE) on an optimized crystal structure of Ce4Tl5.

Structure (CIF):
```
data_Ce4Tl5
_chemical_formula_sum 'Ce8 Tl10'
_symmetry_space_group_name_H-M 'P 63/m c m'
_symmetry_Int_Tables_number 193
_symmetry_space_group_name_Hall '-P 6c 2'
_cell_length_a 9.5966
_cell_length_b 9.5966
_cell_length_c 6.6088
_cell_angle_alpha 90.00
_cell_angle_beta 90.00
_cell_angle_gamma 120.00
loop_
_atom_site_label
_atom_site_fract_x
_atom_site_fract_y
_atom_site_fract_z
Ce1 0.0000 0.0000 0.0000
Ce2 0.0000 0.3659 0.2500
Tl1 0.0000 0.3029 0.7500
Tl2 0.3333 0.6667 0.0000
```

## Properties
Total magnetization, Bohr magnetons per cell: 7.92
Crystal system: hexagonal

---

Need the numbers? Relative energies in meV per atom: model P 31; model Q 0.

---

Model P:
VASP calculation (GGA-PBE) on an optimized crystal structure of Ce2TmTl2.

Structure (CIF):
```
data_Ce2TmTl2
_chemical_formula_sum 'Ce4 Tm2 Tl4'
_symmetry_space_group_name_H-M 'C 1 2/m 1'
_symmetry_Int_Tables_number 12
_cell_length_a 10.3120
_cell_length_b 4.4472
_cell_length_c 7.7440
_cell_angle_alpha 90.00
_cell_angle_beta 128.07
_cell_angle_gamma 90.00
loop_
_symmetry_equiv_pos_as_xyz
'x,y,z'
'-x,-y,-z'
'-x,y,-z'
'x,-y,z'
'x+1/2,y+1/2,z'
'-x+1/2,-y+1/2,-z'
'-x+1/2,y+1/2,-z'
'x+1/2,-y+1/2,z'
loop_
_atom_site_label
_atom_site_fract_x
_atom_site_fract_y
_atom_site_fract_z
Ce1 0.0798 0.0000 0.4093
Tm1 0.0000 0.5000 0.0000
Tl1 0.2202 0.5000 0.8161
```

## Properties
Total magnetization, Bohr magnetons per cell: 2.70
Crystal system: monoclinic

---

Model Q:
VASP calculation (GGA-PBE) on an optimized crystal structure of Ce2TmTl2.

Structure (CIF):
```
data_Ce2TmTl2
_chemical_formula_sum 'Ce4 Tm2 Tl4'
_symmetry_space_group_name_H-M 'C 1 2/m 1'
_symmetry_Int_Tables_number 12
_cell_length_a 9.3261
_cell_length_b 5.0384
_cell_length_c 6.7023
_cell_angle_alpha 90.00
_cell_angle_beta 117.98
_cell_angle_gamma 90.00
loop_
_symmetry_equiv_pos_as_xyz
'x,y,z'
'-x,-y,-z'
'-x,y,-z'
'x,-y,z'
'x+1/2,y+1/2,z'
'-x+1/2,-y+1/2,-z'
'-x+1/2,y+1/2,-z'
'x+1/2,-y+1/2,z'
loop_
_atom_site_label
_atom_site_fract_x
_atom_site_fract_y
_atom_site_fract_z
Ce1 0.2170 0.0000 0.0958
Tm1 0.0000 0.0000 0.5000
Tl1 0.1032 0.5000 0.2903
```

## Properties
Total magnetization, Bohr magnetons per cell: 3.50
Crystal system: monoclinic

---

Need the numbers? Relative energies in meV per atom: model P 8; model Q 0.

---

Model P:
VASP calculation (GGA-PBE) on an optimized crystal structure of CeTm5Tl6.

Structure (CIF):
```
data_CeTm5Tl6
_chemical_formula_sum 'Ce1 Tm5 Tl6'
_symmetry_space_group_name_H-M 'P 1 2/m 1'
_symmetry_Int_Tables_number 10
_cell_length_a 5.3667
_cell_length_b 7.5041
_cell_length_c 8.5001
_cell_angle_alpha 90.00
_cell_angle_beta 108.29
_cell_angle_gamma 90.00
loop_
_symmetry_equiv_pos_as_xyz
'x,y,z'
'-x,-y,-z'
'-x,y,-z'
'x,-y,z'
loop_
_atom_site_label
_atom_site_fract_x
_atom_site_fract_y
_atom_site_fract_z
Ce1 0.0000 0.0000 0.0000
Tm1 0.0000 0.5000 0.0000
Tm2 0.3320 0.0000 0.6641
Tm3 0.3372 0.5000 0.6747
Tl1 0.1703 0.2562 0.3404
Tl2 0.5000 0.2552 0.0000
```

## Properties
Total magnetization, Bohr magnetons per cell: 1.32
Crystal system: monoclinic

---

Model Q:
VASP calculation (GGA-PBE) on an optimized crystal structure of CeTm5Tl6.

Structure (CIF):
```
data_CeTm5Tl6
_chemical_formula_sum 'Ce2 Tm10 Tl12'
_symmetry_space_group_name_H-M 'C 1 2/m 1'
_symmetry_Int_Tables_number 12
_cell_length_a 9.9385
_cell_length_b 11.1339
_cell_length_c 6.4085
_cell_angle_alpha 90.00
_cell_angle_beta 102.57
_cell_angle_gamma 90.00
loop_
_symmetry_equiv_pos_as_xyz
'x,y,z'
'-x,-y,-z'
'-x,y,-z'
'x,-y,z'
'x+1/2,y+1/2,z'
'-x+1/2,-y+1/2,-z'
'-x+1/2,y+1/2,-z'
'x+1/2,-y+1/2,z'
loop_
_atom_site_label
_atom_site_fract_x
_atom_site_fract_y
_atom_site_fract_z
Ce1 0.0000 0.0000 0.0000
Tm1 0.0000 0.1644 0.5000
Tm2 0.0000 0.3351 0.0000
Tm3 0.0000 0.5000 0.5000
Tl1 0.2464 0.3283 0.7456
Tl2 0.2475 0.5000 0.2608
```

## Properties
Total magnetization, Bohr magnetons per cell: 2.01
Crystal system: monoclinic

---

Need the numbers? Relative energies in meV per atom: model P 0; model Q 79.

---

Model P:
VASP calculation (GGA-PBE) on an optimized crystal structure of Ce2Tm2Tl3.

Structure (CIF):
```
data_Ce2Tm2Tl3
_chemical_formula_sum 'Ce4 Tm4 Tl6'
_symmetry_space_group_name_H-M 'I m m m'
_symmetry_Int_Tables_number 71
_symmetry_space_group_name_Hall '-I 2 2'
_cell_length_a 5.3201
_cell_length_b 5.4652
_cell_length_c 14.7465
_cell_angle_alpha 90.00
_cell_angle_beta 90.00
_cell_angle_gamma 90.00
loop_
_atom_site_label
_atom_site_fract_x
_atom_site_fract_y
_atom_site_fract_z
Ce1 0.0000 0.0000 0.1238
Tm1 0.0000 0.0000 0.3804
Tl1 0.0000 0.5000 0.0000
Tl2 0.0000 0.5000 0.2525
```

## Properties
Total magnetization, Bohr magnetons per cell: 5.46
Crystal system: orthorhombic

---

Model Q:
VASP calculation (GGA-PBE) on an optimized crystal structure of Ce2Tm2Tl3.

Structure (CIF):
```
data_Ce2Tm2Tl3
_chemical_formula_sum 'Ce4 Tm4 Tl6'
_symmetry_space_group_name_H-M 'C m m m'
_symmetry_Int_Tables_number 65
_symmetry_space_group_name_Hall '-C 2 2'
_cell_length_a 4.3577
_cell_length_b 24.6350
_cell_length_c 3.4785
_cell_angle_alpha 90.00
_cell_angle_beta 90.00
_cell_angle_gamma 90.00
loop_
_atom_site_label
_atom_site_fract_x
_atom_site_fract_y
_atom_site_fract_z
Ce1 0.0000 0.2147 0.0000
Tm1 0.0000 0.0712 0.0000
Tl1 0.0000 0.3594 0.5000
Tl2 0.0000 0.5000 0.5000
```

## Properties
Total magnetization, Bohr magnetons per cell: 2.89
Crystal system: orthorhombic

---

Need the numbers? Relative energies in meV per atom: model P 91; model Q 0.

---

Model P:
VASP calculation (GGA-PBE) on an optimized crystal structure of Ce2UTl.

Structure (CIF):
```
data_Ce2UTl
_chemical_formula_sum 'Ce2 U1 Tl1'
_symmetry_space_group_name_H-M 'P 4/m m m'
_symmetry_Int_Tables_number 123
_symmetry_space_group_name_Hall '-P 4 2'
_cell_length_a 3.1238
_cell_length_b 3.1238
_cell_length_c 10.2419
_cell_angle_alpha 90.00
_cell_angle_beta 90.00
_cell_angle_gamma 90.00
loop_
_atom_site_label
_atom_site_fract_x
_atom_site_fract_y
_atom_site_fract_z
Ce1 0.0000 0.0000 0.2376
U1 0.5000 0.5000 0.0000
Tl1 0.5000 0.5000 0.5000
```

## Properties
Total magnetization, Bohr magnetons per cell: 2.06
Crystal system: tetragonal

---

Model Q:
VASP calculation (GGA-PBE) on an optimized crystal structure of Ce2UTl.

Structure (CIF):
```
data_Ce2UTl
_chemical_formula_sum 'Ce2 U1 Tl1'
_symmetry_space_group_name_H-M 'P 4/m m m'
_symmetry_Int_Tables_number 123
_symmetry_space_group_name_Hall '-P 4 2'
_cell_length_a 4.8617
_cell_length_b 4.8617
_cell_length_c 4.5084
_cell_angle_alpha 90.00
_cell_angle_beta 90.00
_cell_angle_gamma 90.00
loop_
_atom_site_label
_atom_site_fract_x
_atom_site_fract_y
_atom_site_fract_z
Ce1 0.0000 0.5000 0.0000
U1 0.0000 0.0000 0.5000
Tl1 0.5000 0.5000 0.5000
```

## Properties
Total magnetization, Bohr magnetons per cell: 4.97
Crystal system: tetragonal

---

Model R:
VASP calculation (GGA-PBE) on an optimized crystal structure of Ce2UTl.

Structure (CIF):
```
data_Ce2UTl
_chemical_formula_sum 'Ce6 U3 Tl3'
_symmetry_space_group_name_H-M 'R -3 m'
_symmetry_Int_Tables_number 166
_symmetry_space_group_name_Hall '-R 3 2"'
_cell_length_a 3.7279
_cell_length_b 3.7279
_cell_length_c 29.1836
_cell_angle_alpha 90.00
_cell_angle_beta 90.00
_cell_angle_gamma 120.00
loop_
_atom_site_label
_atom_site_fract_x
_atom_site_fract_y
_atom_site_fract_z
Ce1 0.0000 0.0000 0.1134
U1 0.0000 0.0000 0.5000
Tl1 0.0000 0.0000 0.0000
```

## Properties
Total magnetization, Bohr magnetons per cell: 0.00
Crystal system: trigonal

---

Need the numbers? Relative energies in meV per atom: model P 0; model Q 102; model R 319.